An optimized crystal structure of MnPdAu3. Source: Alexandria, functional GGA-PBE.

Geometry as POSCAR:
```
MnPdAu3
1.0
6.4166 0.0000 0.0000
0.0000 7.3822 0.0000
0.0000 0.0000 7.5340
Mn Pd Au
4 4 12
direct
0.0000 0.0000 0.0000 Mn
0.0000 0.5000 0.0000 Mn
0.5000 0.0000 0.5000 Mn
0.5000 0.5000 0.5000 Mn
0.2200 0.2500 0.4529 Pd
0.2800 0.7500 0.9529 Pd
0.7200 0.2500 0.0471 Pd
0.7800 0.7500 0.5471 Pd
0.1268 0.5551 0.6628 Au
0.1268 0.9449 0.6628 Au
0.1727 0.7500 0.3245 Au
0.3273 0.2500 0.8245 Au
0.3732 0.0551 0.1628 Au
0.3732 0.4449 0.1628 Au
0.6268 0.5551 0.8372 Au
0.6268 0.9449 0.8372 Au
0.6727 0.7500 0.1755 Au
0.8273 0.2500 0.6755 Au
0.8732 0.0551 0.3372 Au
0.8732 0.4449 0.3372 Au
```

Formation energy from the elements = 0.0090 eV per atom
Electronic total energy = -4.830 eV/atom
Crystal system = orthorhombic
Excess energy over the best structure of this formula in the dataset = 0.000 eV/atom